Entry 1:
A plane-wave DFT calculation with GGA-PBE was carried out for a geometry-optimized La2YHgRu structure.

Output
Total DFT energy (no corrections) = -0.3980 Ry/atom
Symmetry = P4/mmm
Energy of formation = -0.236 eV per atom

Geometry as CIF:
```
data_La2YHgRu
_space_group_name_H-M_alt 'P 1'
_space_group_IT_number 1
_cell_length_a 5.427
_cell_length_b 5.427
_cell_length_c 5.444
_cell_angle_alpha 90.00
_cell_angle_beta 90.00
_cell_angle_gamma 90.00
loop_
_space_group_symop_operation_xyz
'x,y,z'
loop_
_atom_site_label
_atom_site_fract_x
_atom_site_fract_y
_atom_site_fract_z
Y1 0.000 0.000 0.500
Ru1 0.000 0.000 0.000
Hg1 0.500 0.500 0.500
La1 0.000 0.500 0.000
La2 0.500 0.000 0.000
```


Entry 2:
A plane-wave DFT calculation with GGA-PBE was carried out for a geometry-optimized LaYHgRu structure.

Output
Total DFT energy (no corrections) = -0.4064 Ry/atom
Symmetry = F-43m
Polymorph energy (0 for the lowest one) = 106 meV/atom
Energy of formation = -0.287 eV per atom

Geometry as CIF:
```
data_LaYHgRu
_space_group_name_H-M_alt 'P 1'
_space_group_IT_number 1
_cell_length_a 5.164
_cell_length_b 5.164
_cell_length_c 5.164
_cell_angle_alpha 60.00
_cell_angle_beta 60.00
_cell_angle_gamma 60.00
loop_
_space_group_symop_operation_xyz
'x,y,z'
loop_
_atom_site_label
_atom_site_fract_x
_atom_site_fract_y
_atom_site_fract_z
Y1 0.000 0.000 0.000
Ru1 0.750 0.750 0.750
Hg1 0.250 0.250 0.250
La1 0.500 0.500 0.500
```


Entry 3:
A plane-wave DFT calculation with GGA-PBE was carried out for a geometry-optimized LaZrHg2Ru structure.

Output
Total DFT energy (no corrections) = -0.3084 Ry/atom
Symmetry = P4/mmm
Energy of formation = 0.475 eV per atom

Geometry as CIF:
```
data_LaZrHg2Ru
_space_group_name_H-M_alt 'P 1'
_space_group_IT_number 1
_cell_length_a 5.297
_cell_length_b 4.899
_cell_length_c 5.297
_cell_angle_alpha 90.00
_cell_angle_beta 90.00
_cell_angle_gamma 90.00
loop_
_space_group_symop_operation_xyz
'x,y,z'
loop_
_atom_site_label
_atom_site_fract_x
_atom_site_fract_y
_atom_site_fract_z
Ru1 0.000 0.000 0.000
Hg1 0.000 0.000 0.500
Hg2 0.500 0.000 0.000
Zr1 0.500 0.500 0.500
La1 0.000 0.500 0.000
```


Entry 4:
A plane-wave DFT calculation with GGA-PBE was carried out for a geometry-optimized La2HgS structure.

Output
Total DFT energy (no corrections) = -0.3252 Ry/atom
Symmetry = Fm-3m
Polymorph energy (0 for the lowest one) = 395 meV/atom

Geometry as CIF:
```
data_La2HgS
_space_group_name_H-M_alt 'P 1'
_space_group_IT_number 1
_cell_length_a 5.318
_cell_length_b 5.318
_cell_length_c 5.318
_cell_angle_alpha 60.00
_cell_angle_beta 60.00
_cell_angle_gamma 60.00
loop_
_space_group_symop_operation_xyz
'x,y,z'
loop_
_atom_site_label
_atom_site_fract_x
_atom_site_fract_y
_atom_site_fract_z
S1 0.000 0.000 0.000
Hg1 0.500 0.500 0.500
La1 0.250 0.250 0.250
La2 0.750 0.750 0.750
```